Version one
! CaCo2Ni2 (PBE, optimized geometry); values from VASP
&SYSTEM
  ibrav = 0, nat = 10, ntyp = 3
/
ATOMIC_SPECIES
Ni 58.69 Ni.upf
Ca 40.08 Ca.upf
Co 58.93 Co.upf
ATOMIC_POSITIONS crystal
Ni 0.175 0.675 0.500
Ni 0.675 0.825 0.500
Ni 0.825 0.325 0.500
Ni 0.325 0.175 0.500
Ca 0.000 0.000 0.000
Ca 0.500 0.500 0.000
Co 0.384 0.884 0.000
Co 0.884 0.616 0.000
Co 0.616 0.116 0.000
Co 0.116 0.384 0.000
CELL_PARAMETERS angstrom
-6.671 -2.490 -1.240
2.772 -5.685 -3.498
0.083 -1.336 2.236
! Crystal system   tetragonal



Version two
! CaCo2Ni2 (PBE, optimized geometry); values from VASP
&SYSTEM
  ibrav = 0, nat = 10, ntyp = 3
/
ATOMIC_SPECIES
Ni 58.69 Ni.upf
Ca 40.08 Ca.upf
Co 58.93 Co.upf
ATOMIC_POSITIONS crystal
Ni 0.378 0.878 0.000
Ni 0.878 0.622 0.000
Ni 0.622 0.122 0.000
Ni 0.122 0.378 0.000
Ca 0.000 0.000 0.000
Ca 0.500 0.500 0.000
Co 0.171 0.671 0.500
Co 0.671 0.829 0.500
Co 0.829 0.329 0.500
Co 0.329 0.171 0.500
CELL_PARAMETERS angstrom
-4.604 4.930 -2.641
-1.478 -4.372 -5.583
-1.930 -1.076 1.354
! Crystal system   tetragonal



Version three
! CaCo2Ni2 (PBE, optimized geometry); values from VASP
&SYSTEM
  ibrav = 0, nat = 5, ntyp = 3
/
ATOMIC_SPECIES
Ni 58.69 Ni.upf
Ca 40.08 Ca.upf
Co 58.93 Co.upf
ATOMIC_POSITIONS crystal
Ni 0.383 0.383 0.233
Ni 0.617 0.617 0.767
Ca 0.000 0.000 0.000
Co 0.750 0.250 0.500
Co 0.250 0.750 0.500
CELL_PARAMETERS angstrom
3.873 0.000 0.000
0.000 3.873 0.000
1.936 1.936 5.023
! Crystal system   tetragonal



Quick look at relative energies in meV/atom: version one 22; version two 59; version three 0.



Version one
! CaCoNi3 (PBE, optimized geometry); values from VASP
&SYSTEM
  ibrav = 0, nat = 5, ntyp = 3
/
ATOMIC_SPECIES
Ni 58.69 Ni.upf
Ca 40.08 Ca.upf
Co 58.93 Co.upf
ATOMIC_POSITIONS crystal
Ni 0.000 0.500 0.000
Ni 0.000 0.000 0.500
Ni 0.500 0.000 0.000
Ca 0.500 0.500 0.500
Co 0.000 0.000 0.000
CELL_PARAMETERS angstrom
-3.257 -1.754 2.361
-0.278 -3.323 -2.853
2.928 -2.267 2.355
! Crystal system   cubic



Version two
! CaCoNi3 (PBE, optimized geometry); values from VASP
&SYSTEM
  ibrav = 0, nat = 5, ntyp = 3
/
ATOMIC_SPECIES
Ni 58.69 Ni.upf
Ca 40.08 Ca.upf
Co 58.93 Co.upf
ATOMIC_POSITIONS crystal
Ni 0.000 0.500 0.000
Ni 0.000 0.000 0.500
Ni 0.500 0.000 0.000
Ca 0.000 0.000 0.000
Co 0.500 0.500 0.500
CELL_PARAMETERS angstrom
4.420 0.000 0.000
0.000 4.420 0.000
0.000 0.000 4.420
! Crystal system   cubic



Quick look at relative energies in meV/atom: version one 0; version two 1496.



Version one
! CaCo3Ni (PBE, optimized geometry); values from VASP
&SYSTEM
  ibrav = 0, nat = 5, ntyp = 3
/
ATOMIC_SPECIES
Ni 58.69 Ni.upf
Ca 40.08 Ca.upf
Co 58.93 Co.upf
ATOMIC_POSITIONS crystal
Ni 0.500 0.500 0.500
Ca 0.000 0.000 0.000
Co 0.000 0.500 0.000
Co 0.000 0.000 0.500
Co 0.500 0.000 0.000
CELL_PARAMETERS angstrom
-1.157 1.018 -4.117
1.965 -3.653 -1.455
-3.758 -2.223 0.507
! Crystal system   cubic



Version two
! CaCo3Ni (PBE, optimized geometry); values from VASP
&SYSTEM
  ibrav = 0, nat = 5, ntyp = 3
/
ATOMIC_SPECIES
Ni 58.69 Ni.upf
Ca 40.08 Ca.upf
Co 58.93 Co.upf
ATOMIC_POSITIONS crystal
Ni 0.000 0.000 0.000
Ca 0.500 0.500 0.500
Co 0.000 0.500 0.000
Co 0.000 0.000 0.500
Co 0.500 0.000 0.000
CELL_PARAMETERS angstrom
4.411 0.000 0.000
0.000 4.411 0.000
0.000 0.000 4.411
! Crystal system   cubic



Quick look at relative energies in meV/atom: version one 1433; version two 0.